# NaBeSn, relaxed, DFT PBE
data_NaBeSn
_chemical_formula_sum 'Na6 Be6 Sn6'
_symmetry_space_group_name_H-M 'P m n 21'
_symmetry_Int_Tables_number 31
_cell_length_a 4.2487
_cell_length_b 4.6329
_cell_length_c 19.9986
_cell_angle_alpha 90.00
_cell_angle_beta 90.00
_cell_angle_gamma 90.00
loop_
_symmetry_equiv_pos_as_xyz
'x,y,z'
'-x+1/2,-y,z+1/2'
'-x,y,z'
'x+1/2,-y,z+1/2'
loop_
_atom_site_label
_atom_site_fract_x
_atom_site_fract_y
_atom_site_fract_z
Na1 0.0000 0.0003 0.0000
Na2 0.0000 0.9995 0.1934
Na3 0.0000 0.4991 0.3357
Be1 0.0000 0.5002 0.0713
Be2 0.0000 0.5013 0.7565
Be3 0.0000 0.9988 0.4099
Sn1 0.0000 0.0009 0.8264
Sn2 0.0000 0.4995 0.4840
Sn3 0.0000 0.5004 0.6341
# E_form: 0.82 eV per formula unit
# DFT total energy: -2.74 eV per atom
# Offset from the most stable computed form: 243 meV/atom